A geometry-optimized CaTb5Ru4 structure, computed with GGA-PBE.

Computed properties:
energy relative to the elements	-275	meV per atom
spin magnetization	0.00	μB per atom
SG	P4/mmm, No. 123
DOS(E_F)	5.33	states/eV per cell

Unit cell a=3.4400 b=3.4400 c=19.5572 alpha=90.00 beta=90.00 gamma=90.00
Fractional positions:
Ru1 0.0000 0.0000 0.7661
Ru2 0.0000 0.0000 0.2339
Tb1 0.5000 0.5000 0.8447
Tb2 0.5000 0.5000 0.6727
Ru3 0.0000 0.0000 0.5869
Ru4 0.0000 0.0000 0.4131
Ca1 0.0000 0.0000 0.0000
Tb3 0.5000 0.5000 0.5000
Tb4 0.5000 0.5000 0.3273
Tb5 0.5000 0.5000 0.1553